[1]
DFT (PBE-GGA) results for a relaxed Sm4Pt2Rh crystal.

Cell and atoms, written as POSCAR:
```
Sm4Pt2Rh
1.0
-4.506 4.511 4.637
4.506 -4.511 4.637
4.506 4.511 -4.637
Sm Pt Rh
8 4 2
Direct
0.195 0.247 0.552 Sm
0.195 0.643 0.948 Sm
0.248 0.195 0.052 Sm
0.357 0.805 0.552 Sm
0.643 0.195 0.448 Sm
0.752 0.805 0.948 Sm
0.805 0.357 0.052 Sm
0.805 0.753 0.448 Sm
0.000 0.500 0.500 Pt
0.500 0.000 0.000 Pt
0.500 0.500 0.000 Pt
0.500 0.500 0.500 Pt
0.124 0.874 0.250 Rh
0.876 0.126 0.750 Rh
```

Computed properties:
M_tot (Bohr magnetons per cell): 0.00
E_tot (eV/atom): -6.295
Energy relative to the elements (eV per formula unit): -5.76
Space group: Imma, No. 74
Crystal system: orthorhombic

---

[2]
DFT (PBE-GGA) results for a relaxed SmUCu2O8 crystal.

Cell and atoms, written as POSCAR:
```
SmUCu2O8
1.0
-3.477 3.477 3.362
3.477 -3.477 3.362
3.477 3.477 -3.362
Sm U Cu O
1 1 2 8
Direct
0.000 0.000 0.000 Sm
0.250 0.750 0.500 U
0.500 0.500 0.000 Cu
0.750 0.250 0.500 Cu
0.305 0.106 0.801 O
0.305 0.505 0.199 O
0.374 0.044 0.330 O
0.495 0.695 0.801 O
0.714 0.044 0.670 O
0.894 0.695 0.199 O
0.956 0.286 0.330 O
0.956 0.626 0.670 O
```

Computed properties:
M_tot (Bohr magnetons per cell): 2.51
E_tot (eV/atom): -7.039
Formation energy (no corrections) (meV/atom): -1717
Space group: I-4m2, No. 119
Crystal system: tetragonal

---

[3]
DFT (PBE-GGA) results for a relaxed GdGePdAu crystal.

Cell and atoms, written as POSCAR:
```
GdGePdAu
1.0
0.000 3.413 3.413
3.413 0.000 3.413
3.413 3.413 0.000
Gd Ge Pd Au
1 1 1 1
Direct
0.000 0.000 0.000 Gd
0.500 0.500 0.500 Ge
0.250 0.250 0.250 Pd
0.750 0.750 0.750 Au
```

Computed properties:
M_tot (Bohr magnetons per cell): 7.16
E_tot (eV/atom): -7.395
Energy relative to the elements (eV per formula unit): -2.41
Space group: F-43m, No. 216
Crystal system: cubic

---

Q: Number 1 is which compound?
A: Sm4Pt2Rh

---

Q: Which of these has the highest E_tot?
A: Sm4Pt2Rh

---

What did the first record say?
DFT (PBE-GGA) results for a relaxed Sm4Pt2Rh crystal.

Cell and atoms, written as POSCAR:
```
Sm4Pt2Rh
1.0
-4.506 4.511 4.637
4.506 -4.511 4.637
4.506 4.511 -4.637
Sm Pt Rh
8 4 2
Direct
0.195 0.247 0.552 Sm
0.195 0.643 0.948 Sm
0.248 0.195 0.052 Sm
0.357 0.805 0.552 Sm
0.643 0.195 0.448 Sm
0.752 0.805 0.948 Sm
0.805 0.357 0.052 Sm
0.805 0.753 0.448 Sm
0.000 0.500 0.500 Pt
0.500 0.000 0.000 Pt
0.500 0.500 0.000 Pt
0.500 0.500 0.500 Pt
0.124 0.874 0.250 Rh
0.876 0.126 0.750 Rh
```

Computed properties:
M_tot (Bohr magnetons per cell): 0.00
E_tot (eV/atom): -6.295
Energy relative to the elements (eV per formula unit): -5.76
Space group: Imma, No. 74
Crystal system: orthorhombic

---

Q: What is the formula in the third record?
A: GdGePdAu